1.
Material: SrLiAu2
Method: DFT, meta-GGA SCAN
State: single point on PBEsol structure

Results
symmetry	No. 71
DOS at the Fermi energy	0.3049	states/eV per atom
DFT total energy	-41.45	eV/atom
ΔE to the lowest computed polymorph	113	meV per atom

Cell lengths 4.619, 5.068, 5.068 Å; angles 65.43, 62.89, 62.89 degrees
Atoms (fractional coordinates):
Au  0.203  0.797  0.797
Li  0.500  0.000  0.000
Au  0.797  0.203  0.203
Sr  0.000  0.500  0.500

2.
Material: SrLiAu2
Method: DFT, meta-GGA SCAN
State: single point on PBEsol structure

Results
symmetry	No. 123
DOS at the Fermi energy	0.2377	states/eV per atom
DFT total energy	-41.48	eV/atom
ΔE to the lowest computed polymorph	80	meV per atom

Cell lengths 3.534, 3.534, 6.737 Å; angles 90.00, 90.00, 90.00 degrees
Atoms (fractional coordinates):
Au  0.000  0.000  0.296
Li  0.500  0.500  0.500
Au  0.000  0.000  0.704
Sr  0.500  0.500  0.000

3.
Material: SrLiAu2
Method: DFT, meta-GGA SCAN
State: single point on PBEsol structure

Results
symmetry	No. 25
DOS at the Fermi energy	0.4810	states/eV per atom
DFT total energy	-41.27	eV/atom
ΔE to the lowest computed polymorph	290	meV per atom

Cell lengths 3.778, 3.624, 6.425 Å; angles 90.00, 90.00, 90.00 degrees
Atoms (fractional coordinates):
Sr  0.500  0.500  0.779
Au  0.500  0.500  0.279
Li  0.000  0.000  0.413
Au  0.000  0.000  0.029

4.
Material: LiTaAu2
Method: DFT, meta-GGA SCAN
State: single point on PBEsol structure

Results
symmetry	No. 35
DOS at the Fermi energy	0.5349	states/eV per atom
DFT total energy	-51.85	eV/atom

Cell lengths 2.747, 2.747, 9.331 Å; angles 90.00, 90.00, 107.95 degrees
Atoms (fractional coordinates):
Li  0.000  0.000  0.517
Au  0.000  0.000  0.999
Au  0.500  0.500  0.738
Ta  0.500  0.500  0.246